(1)
# SbAs2Ru | Alexandria | GGA-PBE | optimized geometry
data_SbAs2Ru
_chemical_formula_sum 'Sb1 As2 Ru1'
_cell_length_a 3.2263
_cell_length_b 4.6479
_cell_length_c 4.9574
_cell_angle_alpha 90.00
_cell_angle_beta 90.00
_cell_angle_gamma 90.00
_symmetry_space_group_name_H-M 'P m m m'
_symmetry_Int_Tables_number 47
loop_
_symmetry_equiv_pos_as_xyz
'x,y,z'
'-x,-y,-z'
'-x,-y,z'
'x,y,-z'
'x,-y,-z'
'-x,y,z'
'-x,y,-z'
'x,-y,z'
loop_
_atom_site_label
_atom_site_type_symbol
_atom_site_fract_x
_atom_site_fract_y
_atom_site_fract_z
Sb1 Sb 0.0000 0.0000 0.0000
As1 As 0.0000 0.5000 0.5000
As2 As 0.5000 0.0000 0.5000
Ru1 Ru 0.5000 0.5000 0.0000
# - Raw formation energy: 470 meV/atom

(2)
# SbAs2Ru | Alexandria | GGA-PBE | optimized geometry
data_SbAs2Ru
_chemical_formula_sum 'Sb2 As4 Ru2'
_cell_length_a 4.4021
_cell_length_b 4.4021
_cell_length_c 7.6125
_cell_angle_alpha 90.00
_cell_angle_beta 90.00
_cell_angle_gamma 90.00
_symmetry_space_group_name_H-M 'I -4 m 2'
_symmetry_Int_Tables_number 119
_symmetry_space_group_name_Hall 'I -4 -2'
loop_
_atom_site_label
_atom_site_type_symbol
_atom_site_fract_x
_atom_site_fract_y
_atom_site_fract_z
Sb1 Sb 0.0000 0.0000 0.0000
As1 As 0.0000 0.0000 0.5000
As2 As 0.0000 0.5000 0.7500
Ru1 Ru 0.0000 0.5000 0.2500
# - Raw formation energy: 394 meV/atom

(3)
# Sb3AsRu | Alexandria | GGA-PBE | optimized geometry
data_Sb3AsRu
_chemical_formula_sum 'Sb3 As1 Ru1'
_cell_length_a 5.2212
_cell_length_b 5.2212
_cell_length_c 5.2212
_cell_angle_alpha 90.00
_cell_angle_beta 90.00
_cell_angle_gamma 90.00
_symmetry_space_group_name_H-M 'P m -3 m'
_symmetry_Int_Tables_number 221
_symmetry_space_group_name_Hall '-P 4 2 3'
loop_
_atom_site_label
_atom_site_type_symbol
_atom_site_fract_x
_atom_site_fract_y
_atom_site_fract_z
Sb1 Sb 0.0000 0.0000 0.5000
As1 As 0.0000 0.0000 0.0000
Ru1 Ru 0.5000 0.5000 0.5000
# - Offset from the most stable computed form: 823 meV per atom
# - Raw formation energy: 1323 meV/atom

(4)
# SbAsRu2 | Alexandria | GGA-PBE | optimized geometry
data_SbAsRu2
_chemical_formula_sum 'Sb4 As4 Ru8'
_cell_length_a 6.4677
_cell_length_b 6.4677
_cell_length_c 6.4677
_cell_angle_alpha 90.00
_cell_angle_beta 90.00
_cell_angle_gamma 90.00
_symmetry_space_group_name_H-M 'F -4 3 m'
_symmetry_Int_Tables_number 216
_symmetry_space_group_name_Hall 'F -4 2 3'
loop_
_atom_site_label
_atom_site_type_symbol
_atom_site_fract_x
_atom_site_fract_y
_atom_site_fract_z
Sb1 Sb 0.0000 0.0000 0.0000
As1 As 0.2500 0.2500 0.7500
Ru1 Ru 0.0000 0.0000 0.5000
Ru2 Ru 0.2500 0.2500 0.2500
# - Offset from the most stable computed form: 597 meV per atom
# - Raw formation energy: 553 meV/atom

(5)
# SbAs2Ru | Alexandria | GGA-PBE | optimized geometry
data_SbAs2Ru
_chemical_formula_sum 'Sb2 As4 Ru2'
_cell_length_a 8.6806
_cell_length_b 3.3086
_cell_length_c 6.1205
_cell_angle_alpha 90.00
_cell_angle_beta 108.16
_cell_angle_gamma 90.00
_symmetry_space_group_name_H-M 'C 1 m 1'
_symmetry_Int_Tables_number 8
loop_
_symmetry_equiv_pos_as_xyz
'x,y,z'
'x,-y,z'
'x+1/2,y+1/2,z'
'x+1/2,-y+1/2,z'
loop_
_atom_site_label
_atom_site_type_symbol
_atom_site_fract_x
_atom_site_fract_y
_atom_site_fract_z
Sb1 Sb 0.0000 0.0000 0.0000
As1 As 0.2092 0.0000 0.7214
As2 As 0.3432 0.0000 0.3856
Ru1 Ru 0.1285 0.5000 0.3750
# - Raw formation energy: 15 meV/atom

(6)
# SbAs2Ru | Alexandria | GGA-PBE | optimized geometry
data_SbAs2Ru
_chemical_formula_sum 'Sb1 As2 Ru1'
_cell_length_a 3.8882
_cell_length_b 4.2917
_cell_length_c 5.2782
_cell_angle_alpha 90.00
_cell_angle_beta 90.69
_cell_angle_gamma 90.00
_symmetry_space_group_name_H-M 'P 1 m 1'
_symmetry_Int_Tables_number 6
loop_
_symmetry_equiv_pos_as_xyz
'x,y,z'
'x,-y,z'
loop_
_atom_site_label
_atom_site_type_symbol
_atom_site_fract_x
_atom_site_fract_y
_atom_site_fract_z
Sb1 Sb 0.0000 0.0000 0.0000
As1 As 0.3414 0.0000 0.5293
As2 As 0.7473 0.5000 0.5537
Ru1 Ru 0.2220 0.5000 0.2752
# - Raw formation energy: 158 meV/atom

(7)
# Sb3AsRu | Alexandria | GGA-PBE | optimized geometry
data_Sb3AsRu
_chemical_formula_sum 'Sb3 As1 Ru1'
_cell_length_a 5.0995
_cell_length_b 5.0995
_cell_length_c 5.0995
_cell_angle_alpha 90.00
_cell_angle_beta 90.00
_cell_angle_gamma 90.00
_symmetry_space_group_name_H-M 'P m -3 m'
_symmetry_Int_Tables_number 221
_symmetry_space_group_name_Hall '-P 4 2 3'
loop_
_atom_site_label
_atom_site_type_symbol
_atom_site_fract_x
_atom_site_fract_y
_atom_site_fract_z
Sb1 Sb 0.0000 0.0000 0.5000
As1 As 0.5000 0.5000 0.5000
Ru1 Ru 0.0000 0.0000 0.0000
# - Offset from the most stable computed form: 0 meV per atom
# - Raw formation energy: 500 meV/atom

(8)
# SbAs2Ru | Alexandria | GGA-PBE | optimized geometry
data_SbAs2Ru
_chemical_formula_sum 'Sb1 As2 Ru1'
_cell_length_a 3.2619
_cell_length_b 3.2619
_cell_length_c 7.3759
_cell_angle_alpha 90.00
_cell_angle_beta 90.00
_cell_angle_gamma 90.00
_symmetry_space_group_name_H-M 'P 4 m m'
_symmetry_Int_Tables_number 99
loop_
_symmetry_equiv_pos_as_xyz
'x,y,z'
'-y,x,z'
'-x,-y,z'
'y,-x,z'
'-x,y,z'
'y,x,z'
'x,-y,z'
'-y,-x,z'
loop_
_atom_site_label
_atom_site_type_symbol
_atom_site_fract_x
_atom_site_fract_y
_atom_site_fract_z
Sb1 Sb 0.0000 0.0000 0.0000
As1 As 0.0000 0.0000 0.5818
As2 As 0.5000 0.5000 0.3845
Ru1 Ru 0.5000 0.5000 0.7660
# - Raw formation energy: 123 meV/atom

(9)
# SbAs2Ru | Alexandria | GGA-PBE | optimized geometry
data_SbAs2Ru
_chemical_formula_sum 'Sb3 As6 Ru3'
_cell_length_a 3.4708
_cell_length_b 3.4708
_cell_length_c 23.1465
_cell_angle_alpha 90.00
_cell_angle_beta 90.00
_cell_angle_gamma 120.00
_symmetry_space_group_name_H-M 'R 3 m'
_symmetry_Int_Tables_number 160
_symmetry_space_group_name_Hall 'R 3 -2"'
loop_
_atom_site_label
_atom_site_type_symbol
_atom_site_fract_x
_atom_site_fract_y
_atom_site_fract_z
Sb1 Sb 0.0000 0.0000 0.0000
As1 As 0.0000 0.0000 0.5192
As2 As 0.0000 0.0000 0.7499
Ru1 Ru 0.0000 0.0000 0.2460
# - Raw formation energy: 158 meV/atom

(10)
# SbAs2Ru | Alexandria | GGA-PBE | optimized geometry
data_SbAs2Ru
_chemical_formula_sum 'Sb1 As2 Ru1'
_cell_length_a 4.6389
_cell_length_b 4.1159
_cell_length_c 4.6492
_cell_angle_alpha 90.00
_cell_angle_beta 113.26
_cell_angle_gamma 90.00
_symmetry_space_group_name_H-M 'P 1 2/m 1'
_symmetry_Int_Tables_number 10
loop_
_symmetry_equiv_pos_as_xyz
'x,y,z'
'-x,-y,-z'
'-x,y,-z'
'x,-y,z'
loop_
_atom_site_label
_atom_site_type_symbol
_atom_site_fract_x
_atom_site_fract_y
_atom_site_fract_z
Sb1 Sb 0.0000 0.0000 0.0000
As1 As 0.3100 0.5000 0.6883
Ru1 Ru 0.5000 0.0000 0.5000
# - Raw formation energy: 80 meV/atom

(11)
# ScSbAsRu2 | Alexandria | GGA-PBE | optimized geometry
data_ScSbAsRu2
_chemical_formula_sum 'Sc1 Sb1 As1 Ru2'
_cell_length_a 4.8067
_cell_length_b 4.8067
_cell_length_c 5.1377
_cell_angle_alpha 90.00
_cell_angle_beta 90.00
_cell_angle_gamma 90.00
_symmetry_space_group_name_H-M 'P 4/m m m'
_symmetry_Int_Tables_number 123
_symmetry_space_group_name_Hall '-P 4 2'
loop_
_atom_site_label
_atom_site_type_symbol
_atom_site_fract_x
_atom_site_fract_y
_atom_site_fract_z
Sc1 Sc 0.0000 0.0000 0.0000
Sb1 Sb 0.5000 0.5000 0.5000
As1 As 0.5000 0.5000 0.0000
Ru1 Ru 0.0000 0.5000 0.5000
# - Raw formation energy: 990 meV/atom

(12)
# SbAs2RuSe | Alexandria | GGA-PBE | optimized geometry
data_SbAs2RuSe
_chemical_formula_sum 'Sb1 As2 Ru1 Se1'
_cell_length_a 4.6661
_cell_length_b 4.6661
_cell_length_c 5.3471
_cell_angle_alpha 90.00
_cell_angle_beta 90.00
_cell_angle_gamma 90.00
_symmetry_space_group_name_H-M 'P 4/m m m'
_symmetry_Int_Tables_number 123
_symmetry_space_group_name_Hall '-P 4 2'
loop_
_atom_site_label
_atom_site_type_symbol
_atom_site_fract_x
_atom_site_fract_y
_atom_site_fract_z
Sb1 Sb 0.0000 0.0000 0.0000
As1 As 0.0000 0.5000 0.5000
Ru1 Ru 0.5000 0.5000 0.5000
Se1 Se 0.5000 0.5000 0.0000
# - Offset from the most stable computed form: 0 meV per atom
# - Raw formation energy: 391 meV/atom

(13)
# SnSbAsRu2 | Alexandria | GGA-PBE | optimized geometry
data_SnSbAsRu2
_chemical_formula_sum 'Sn1 Sb1 As1 Ru2'
_cell_length_a 4.9222
_cell_length_b 4.9222
_cell_length_c 5.1790
_cell_angle_alpha 90.00
_cell_angle_beta 90.00
_cell_angle_gamma 90.00
_symmetry_space_group_name_H-M 'P 4/m m m'
_symmetry_Int_Tables_number 123
_symmetry_space_group_name_Hall '-P 4 2'
loop_
_atom_site_label
_atom_site_type_symbol
_atom_site_fract_x
_atom_site_fract_y
_atom_site_fract_z
Sn1 Sn 0.0000 0.0000 0.0000
Sb1 Sb 0.5000 0.5000 0.5000
As1 As 0.5000 0.5000 0.0000
Ru1 Ru 0.0000 0.5000 0.5000
# - Raw formation energy: 1271 meV/atom

(14)
# Sb2TeAsRu | Alexandria | GGA-PBE | optimized geometry
data_Sb2TeAsRu
_chemical_formula_sum 'Sb2 Te1 As1 Ru1'
_cell_length_a 5.0217
_cell_length_b 5.0217
_cell_length_c 5.3885
_cell_angle_alpha 90.00
_cell_angle_beta 90.00
_cell_angle_gamma 90.00
_symmetry_space_group_name_H-M 'P 4/m m m'
_symmetry_Int_Tables_number 123
_symmetry_space_group_name_Hall '-P 4 2'
loop_
_atom_site_label
_atom_site_type_symbol
_atom_site_fract_x
_atom_site_fract_y
_atom_site_fract_z
Sb1 Sb 0.0000 0.5000 0.0000
Te1 Te 0.0000 0.0000 0.5000
As1 As 0.5000 0.5000 0.5000
Ru1 Ru 0.0000 0.0000 0.0000
# - Offset from the most stable computed form: 0 meV per atom
# - Raw formation energy: 564 meV/atom

(15)
# Sb2TeAsRu | Alexandria | GGA-PBE | optimized geometry
data_Sb2TeAsRu
_chemical_formula_sum 'Sb2 Te1 As1 Ru1'
_cell_length_a 5.2123
_cell_length_b 5.2123
_cell_length_c 5.3956
_cell_angle_alpha 90.00
_cell_angle_beta 90.00
_cell_angle_gamma 90.00
_symmetry_space_group_name_H-M 'P 4/m m m'
_symmetry_Int_Tables_number 123
_symmetry_space_group_name_Hall '-P 4 2'
loop_
_atom_site_label
_atom_site_type_symbol
_atom_site_fract_x
_atom_site_fract_y
_atom_site_fract_z
Sb1 Sb 0.0000 0.5000 0.0000
Te1 Te 0.0000 0.0000 0.5000
As1 As 0.0000 0.0000 0.0000
Ru1 Ru 0.5000 0.5000 0.5000
# - Offset from the most stable computed form: 734 meV per atom
# - Raw formation energy: 1298 meV/atom

no.,final energy (eV per atom)
1,-5.20
2,-5.28
3,-3.94
4,-6.28
5,-5.66
6,-5.52
7,-4.76
8,-5.55
9,-5.52
10,-5.59
11,-5.74
12,-4.85
13,-4.99
14,-4.50
15,-3.76